Entry from Alexandria via LeMat-Bulk: a relaxed HgTeBr2 crystal (PBE).

Properties
ΔE_f (raw): -92 meV per atom
calculated volume: 40.6 Å³/atom
size of the total moment: 0.0 μB/cell

a = 4.400 Å, b = 4.400 Å, c = 10.450 Å
α = 90.00°, β = 90.00°, γ = 126.64°
Positions (direct):
Hg (0.000, 0.000, 0.000)
Te (0.000, 0.000, 0.500)
Br (0.500, 0.500, 0.310)
Br (0.500, 0.500, 0.690)

***

Entry from Alexandria via LeMat-Bulk: a relaxed SrOs2Cl crystal (PBE).

Properties
ΔE_f (raw): 1402 meV per atom
calculated volume: 18.5 Å³/atom
size of the total moment: 0.0 μB/cell

a = 2.878 Å, b = 2.878 Å, c = 8.909 Å
α = 90.00°, β = 90.00°, γ = 90.00°
Positions (direct):
Sr (0.000, 0.000, 0.000)
Os (0.500, 0.500, 0.281)
Os (0.500, 0.500, 0.719)
Cl (0.000, 0.000, 0.500)

***

Entry from Alexandria via LeMat-Bulk: a relaxed CaCrRe2 crystal (PBE).

Properties
calculated volume: 16.5 Å³/atom
ΔH_f (0 K): 822 meV/atom
size of the total moment: 1.9 μB/cell

a = 5.423 Å, b = 5.423 Å, c = 2.597 Å
α = 90.00°, β = 90.00°, γ = 120.43°
Positions (direct):
Ca (0.000, 0.000, 0.000)
Cr (0.500, 0.500, 0.000)
Re (0.000, 0.500, 0.500)
Re (0.500, 0.000, 0.500)

***

Entry from Alexandria via LeMat-Bulk: a relaxed Ac2MgZn4Pd3 crystal (PBE).

Properties
calculated volume: 21.3 Å³/atom
ΔH_f (0 K): -544 meV/atom
size of the total moment: 0.0 μB/cell

a = 4.187 Å, b = 4.187 Å, c = 12.148 Å
α = 90.00°, β = 90.00°, γ = 90.00°
Positions (direct):
Ac (0.000, 0.500, 0.233)
Ac (0.500, 0.000, 0.767)
Mg (0.000, 0.000, 0.500)
Zn (0.000, 0.000, 0.000)
Zn (0.000, 0.500, 0.642)
Zn (0.500, 0.000, 0.358)
Zn (0.500, 0.500, 0.000)
Pd (0.000, 0.500, 0.864)
Pd (0.500, 0.000, 0.136)
Pd (0.500, 0.500, 0.500)

***

> Look up the size of the total moment of the third one.

1.9 μB/cell